No. 1
Here is LiZn2Ir after structural relaxation from the Alexandria database. Energies are from GGA-PBE.

Calculated values
Size of the total moment, μB per formula unit: 0.17
ΔE_f, kJ/mol of formula units: -61
E above lowest polymorph, meV/atom: 177.4

a b c (Å): 2.755 3.945 5.220
angles (deg): 90.00 90.00 90.00
Sites, in units of the cell vectors:
Li: 0.000 0.000 0.000
Zn: 0.000 0.000 0.529
Zn: 0.500 0.500 0.243
Ir: 0.500 0.500 0.749

***

No. 2
Here is Li5Zn4Ir2 after structural relaxation from the Alexandria database. Energies are from GGA-PBE.

Calculated values
Size of the total moment, μB per formula unit: 0.00
ΔE_f, kJ/mol of formula units: -91

a b c (Å): 9.834 9.834 9.834
angles (deg): 164.15 134.84 48.15
Sites, in units of the cell vectors:
Li: 0.000 0.000 0.000
Li: 0.071 0.349 0.723
Li: 0.374 0.651 0.723
Li: 0.626 0.349 0.277
Li: 0.929 0.651 0.277
Zn: 0.266 0.766 0.500
Zn: 0.302 0.500 0.802
Zn: 0.698 0.500 0.198
Zn: 0.734 0.234 0.500
Ir: 0.406 0.906 0.500
Ir: 0.594 0.094 0.500

***

Record-wise calculated density values, in g/cm3: 9.66; 6.15
Record-wise uncorrected energy values, in eV/atom: -3.490; -3.030